## LiAcP2S8 (PBE)

Data for an optimized crystal structure of LiAcP2S8.

Cell and atoms, written as POSCAR:
```
LiAcP2S8
1.0
5.748 0.000 0.000
-2.874 4.978 0.000
0.000 0.000 9.351
Li Ac P S
1 1 2 8
direct
0.000 0.000 0.000
0.000 0.000 0.500
0.333 0.667 0.272
0.667 0.333 0.728
0.001 0.318 0.204
0.317 0.999 0.204
0.318 0.317 0.796
0.333 0.667 0.490
0.667 0.333 0.510
0.682 0.683 0.204
0.683 0.001 0.796
0.999 0.682 0.796
```

Results
The value obtained for the energy relative to the elements, uncorrected is -7.70 eV per formula unit. As for the calculated volume: 268 Å³/cell. The calculation puts the magnetization at 1.99 μB/f.u.


## Li3AcP4S12 (PBE)

Data for an optimized crystal structure of Li3AcP4S12.

Cell and atoms, written as POSCAR:
```
Li3AcP4S12
1.0
6.354 3.669 3.508
-6.354 3.669 3.508
0.000 -7.338 3.508
Li Ac P S
3 1 4 12
direct
0.000 0.535 0.465
0.465 0.000 0.535
0.535 0.465 0.000
0.000 0.000 0.000
0.044 0.500 0.956
0.500 0.500 0.500
0.500 0.956 0.044
0.956 0.044 0.500
0.041 0.654 0.794
0.111 0.889 0.500
0.206 0.346 0.959
0.346 0.654 0.500
0.346 0.959 0.206
0.500 0.111 0.889
0.500 0.346 0.654
0.654 0.500 0.346
0.654 0.794 0.041
0.794 0.041 0.654
0.889 0.500 0.111
0.959 0.206 0.346
```

Results
The value obtained for the energy relative to the elements, uncorrected is -10.85 eV per formula unit. As for the calculated volume: 491 Å³/cell. The calculation puts the magnetization at 1.42 μB/f.u.


## SrLi2AcP2 (PBE)

Data for an optimized crystal structure of SrLi2AcP2.

Cell and atoms, written as POSCAR:
```
SrLi2AcP2
1.0
4.325 0.000 0.000
-2.162 3.745 0.000
0.000 0.000 8.373
Sr Li Ac P
1 2 1 2
direct
0.000 0.000 0.000
0.333 0.667 0.243
0.667 0.333 0.757
0.000 0.000 0.500
0.333 0.667 0.752
0.667 0.333 0.248
```

Results
As for the calculated volume: 136 Å³/cell. The calculation puts the magnetization at 0.00 μB/f.u. The calculation puts the formation energy from the elements at -0.959 eV per atom.


## Li2AcPa (PBE)

Data for an optimized crystal structure of Li2AcPa.

Cell and atoms, written as POSCAR:
```
Li2AcPa
1.0
3.292 0.000 0.000
-1.646 2.851 0.000
0.000 0.000 37.532
Li Ac Pa
6 3 3
direct
0.000 0.000 0.084
0.000 0.000 0.916
0.333 0.667 0.582
0.333 0.667 0.751
0.667 0.333 0.249
0.667 0.333 0.418
0.000 0.000 0.500
0.333 0.667 0.167
0.667 0.333 0.833
0.000 0.000 0.000
0.333 0.667 0.667
0.667 0.333 0.333
```

Results
As for the calculated volume: 352 Å³/cell. The calculation puts the magnetization at 0.59 μB/f.u. The calculation puts the formation energy from the elements at 0.567 eV per atom.


## LiAc2PaPt6 (PBE)

Data for an optimized crystal structure of LiAc2PaPt6.

Cell and atoms, written as POSCAR:
```
LiAc2PaPt6
1.0
6.177 -2.801 0.000
6.177 2.801 0.000
-5.564 0.000 6.732
Li Ac Pa Pt
1 2 1 6
direct
0.000 0.000 0.000
0.272 0.272 0.824
0.728 0.728 0.176
0.500 0.500 0.500
0.240 0.755 0.240
0.245 0.245 0.398
0.245 0.760 0.760
0.755 0.240 0.240
0.755 0.755 0.602
0.760 0.245 0.760
```

Results
As for the calculated volume: 233 Å³/cell. The calculation puts the magnetization at 0.00 μB/f.u. The calculation puts the formation energy from the elements at -0.852 eV per atom.


## LiAcPaRu (PBE)

Data for an optimized crystal structure of LiAcPaRu.

Cell and atoms, written as POSCAR:
```
LiAcPaRu
1.0
7.207 0.000 0.000
0.000 7.207 0.000
0.000 0.000 7.207
Li Ac Pa Ru
4 4 4 4
direct
0.000 0.000 0.000
0.000 0.500 0.500
0.500 0.000 0.500
0.500 0.500 0.000
0.250 0.250 0.250
0.250 0.750 0.750
0.750 0.250 0.750
0.750 0.750 0.250
0.250 0.250 0.750
0.250 0.750 0.250
0.750 0.250 0.250
0.750 0.750 0.750
0.000 0.000 0.500
0.000 0.500 0.000
0.500 0.000 0.000
0.500 0.500 0.500
```

Results
As for the calculated volume: 374 Å³/cell. The calculation puts the magnetization at 0.01 μB/f.u. The calculation puts the formation energy from the elements at 0.179 eV per atom.